The following is a DFT calculation (PBE) of an optimized crystal structure of ZrS2N2.

a = 3.749 Å, b = 3.749 Å, c = 4.326 Å
α = 90.00°, β = 90.00°, γ = 90.00°
Sites, in units of the cell vectors:
Zr1 0.000 0.000 0.000
S1 0.500 0.500 0.000
S2 0.500 0.500 0.500
N1 0.000 0.500 0.500
N2 0.500 0.000 0.500

Values from the calculation:
Energy relative to the elements, uncorrected (eV per formula unit): 3.53
E above lowest polymorph (meV/atom): 0.0
Final energy (eV for the cell shown): -29.92

The following is a DFT calculation (PBE) of an optimized crystal structure of Sb5N4.

a = 7.512 Å, b = 7.512 Å, c = 7.512 Å
α = 97.65°, β = 97.65°, γ = 137.21°
Sites, in units of the cell vectors:
Sb1 0.000 0.000 0.000
Sb2 0.356 0.356 0.712
Sb3 0.356 0.644 0.000
Sb4 0.644 0.356 0.000
Sb5 0.644 0.644 0.288
N1 0.000 0.444 0.444
N2 0.000 0.556 0.556
N3 0.444 0.000 0.444
N4 0.556 0.000 0.556

Values from the calculation:
Energy relative to the elements, uncorrected (eV per formula unit): 2.57
Final energy (eV for the cell shown): -51.35

The following is a DFT calculation (PBE) of an optimized crystal structure of SbN4.

a = 4.207 Å, b = 4.207 Å, c = 4.207 Å
α = 90.00°, β = 90.00°, γ = 90.00°
Sites, in units of the cell vectors:
Sb1 0.000 0.000 0.000
N1 0.000 0.000 0.500
N2 0.000 0.500 0.000
N3 0.500 0.000 0.000
N4 0.500 0.500 0.500

Values from the calculation:
Energy relative to the elements, uncorrected (eV per formula unit): 14.81
Final energy (eV for the cell shown): -22.61